1.
Ta4SiTe4 | Alexandria | meta-GGA SCAN | single point on PBEsol structure; uncorrected energy = -1719.473 eV for the cell shown; magnetic moment = 0.0 Bohr magnetons per cell; calculated density = 9.09 Mg/m³; formation energy (no corrections) = -0.502 eV per atom
1.0
10.587 0.000 0.000
0.000 18.231 0.000
0.000 0.000 4.780
Ta Si Te
16 4 16
Direct
0.064 0.119 0.000
0.101 0.890 0.500
0.191 0.059 0.500
0.207 0.963 0.000
0.293 0.463 0.000
0.309 0.559 0.500
0.399 0.390 0.500
0.436 0.619 0.000
0.564 0.381 0.000
0.601 0.610 0.500
0.691 0.441 0.500
0.707 0.537 0.000
0.793 0.037 0.000
0.809 0.941 0.500
0.899 0.110 0.500
0.936 0.881 0.000
0.000 0.000 0.250
0.000 0.000 0.750
0.500 0.500 0.250
0.500 0.500 0.750
0.109 0.206 0.500
0.143 0.436 0.500
0.169 0.601 0.000
0.172 0.809 0.000
0.328 0.309 0.000
0.331 0.101 0.000
0.357 0.936 0.500
0.391 0.706 0.500
0.609 0.294 0.500
0.643 0.064 0.500
0.669 0.899 0.000
0.672 0.691 0.000
0.828 0.191 0.000
0.831 0.399 0.000
0.857 0.564 0.500
0.891 0.794 0.500

=====

2.
SbSe2BrN | Alexandria | meta-GGA SCAN | single point on PBEsol structure; uncorrected energy = -99.416 eV for the cell shown; magnetic moment = 0.0 Bohr magnetons per cell; calculated density = 5.99 Mg/m³; formation energy (no corrections) = 1.350 eV per atom
1.0
5.284 0.000 0.000
0.000 5.284 0.000
0.000 0.000 3.707
Sb Se Br N
1 2 1 1
Direct
0.000 0.000 0.000
0.000 0.500 0.500
0.500 0.000 0.500
0.500 0.500 0.500
0.500 0.500 0.000

=====

> Which of these has the highest calculated density?

Ta4SiTe4